Below is an optimized crystal structure of ZrOsSe2Br, with properties calculated at the GGA-PBE level.

a b c (Å): 4.8698 4.8698 4.9055
angles (deg): 90.00 90.00 90.00
Fractional positions:
Se 0.0000 0.5000 0.0000
Se 0.5000 0.0000 0.0000
Os 0.0000 0.0000 0.0000
Br 0.0000 0.0000 0.5000
Zr 0.5000 0.5000 0.5000

- SG = P4/mmm
- formation energy from raw total energies (meV per atom) = 573
- magnetic moment (μB/f.u.) = 0.000
- N(E_F) (states/eV per atom) = 1.118
- excess energy over the best structure of this formula in the dataset (meV per atom) = 0.0

***

Below is an optimized crystal structure of SiOsBr2, with properties calculated at the GGA-PBE level.

a b c (Å): 6.5486 6.5486 6.5486
angles (deg): 151.86 138.34 51.04
Fractional positions:
Br 0.9845 0.9845 0.0000
Br 0.6892 0.1892 0.5000
Os 0.4861 0.4861 0.0000
Si 0.3403 0.8403 0.5000

- SG = Imm2
- formation energy from raw total energies (meV per atom) = 647
- magnetic moment (μB/f.u.) = 0.000
- N(E_F) (states/eV per atom) = 0.591
- excess energy over the best structure of this formula in the dataset (meV per atom) = 572.3

***

Below is an optimized crystal structure of Si2OsBr, with properties calculated at the GGA-PBE level.

a b c (Å): 4.4747 4.4747 4.4747
angles (deg): 60.00 60.00 60.00
Fractional positions:
Br 0.5000 0.5000 0.5000
Os 0.2500 0.2500 0.2500
Si 0.0000 0.0000 0.0000
Si 0.7500 0.7500 0.7500

- SG = F-43m
- formation energy from raw total energies (meV per atom) = 945
- magnetic moment (μB/f.u.) = 0.000
- N(E_F) (states/eV per atom) = 0.594
- excess energy over the best structure of this formula in the dataset (meV per atom) = 889.2

***

Below is an optimized crystal structure of SiOsBr2, with properties calculated at the GGA-PBE level.

a b c (Å): 3.0625 5.6509 4.4544
angles (deg): 90.00 90.00 90.00
Each line ends with the local moment (μB).
Fractional positions:
Br 0.0000 0.0000 0.0000  0.02
Br 0.5000 0.5000 0.0000  0.02
Os 0.5000 0.0000 0.5000  0.66
Si 0.0000 0.5000 0.5000  -0.01

- SG = Pmmm
- formation energy from raw total energies (meV per atom) = 1155
- magnetic moment (μB/f.u.) = 0.735
- N(E_F) (states/eV per atom) = 0.924
- excess energy over the best structure of this formula in the dataset (meV per atom) = 1080.7

***

Below is an optimized crystal structure of SiOsBr2, with properties calculated at the GGA-PBE level.

a b c (Å): 3.7315 5.6531 6.4453
angles (deg): 47.11 90.00 90.00
Fractional positions:
Br 0.0000 0.9567 0.0013
Br 0.5000 0.2700 0.3876
Os 0.0000 0.5373 0.5404
Si 0.5000 0.7360 0.5706

- SG = Pm
- formation energy from raw total energies (meV per atom) = 181
- magnetic moment (μB/f.u.) = 0.000
- N(E_F) (states/eV per atom) = 0.073
- excess energy over the best structure of this formula in the dataset (meV per atom) = 106.0

***

Below is an optimized crystal structure of Si2OsBr, with properties calculated at the GGA-PBE level.

a b c (Å): 5.8882 5.8882 7.0459
angles (deg): 65.30 65.30 90.00
Fractional positions:
Si 0.7090 0.1250 0.2500
Si 0.0410 0.6250 0.2500
Si 0.3750 0.2910 0.7500
Si 0.8750 0.9590 0.7500
Os 0.0000 0.0000 0.0000
Os 0.7500 0.2500 0.5000
Br 0.5000 0.5000 0.0000
Br 0.2500 0.7500 0.5000

- SG = I-42d
- formation energy from raw total energies (meV per atom) = 402
- magnetic moment (μB/f.u.) = 0.000
- N(E_F) (states/eV per atom) = 0.663
- excess energy over the best structure of this formula in the dataset (meV per atom) = 346.0

***

Below is an optimized crystal structure of Si2OsBr, with properties calculated at the GGA-PBE level.

a b c (Å): 3.7078 4.1090 5.7361
angles (deg): 89.84 90.00 90.00
Fractional positions:
Br 0.0000 0.6548 0.5099
Os 0.5000 0.7329 0.8539
Si 0.0000 0.8652 0.0859
Si 0.5000 0.2471 0.0502

- SG = Pm
- formation energy from raw total energies (meV per atom) = 325
- magnetic moment (μB/f.u.) = 0.001
- N(E_F) (states/eV per atom) = 0.570
- excess energy over the best structure of this formula in the dataset (meV per atom) = 269.1

***

Below is an optimized crystal structure of SiOsBr2, with properties calculated at the GGA-PBE level.

a b c (Å): 3.0967 3.0962 8.4911
angles (deg): 90.00 90.00 90.00
Each line ends with the local moment (μB).
Fractional positions:
Br 0.0000 0.0000 0.0537  0.01
Br 0.0000 0.0000 0.4463  0.01
Os 0.5000 0.5000 0.2500  0.08
Si 0.5000 0.5000 0.7500  0.00

- SG = P4/mmm
- formation energy from raw total energies (meV per atom) = 1350
- magnetic moment (μB/f.u.) = 0.111
- N(E_F) (states/eV per atom) = 1.468
- excess energy over the best structure of this formula in the dataset (meV per atom) = 1275.1

***

Below is an optimized crystal structure of Si2OsBr, with properties calculated at the GGA-PBE level.

a b c (Å): 4.7916 3.6996 3.6996
angles (deg): 90.00 90.00 90.00
Fractional positions:
Br 0.5000 0.5000 0.0000
Os 0.5000 0.0000 0.5000
Si 0.0000 0.0000 0.0000
Si 0.0000 0.5000 0.5000

- SG = P4/mmm
- formation energy from raw total energies (meV per atom) = 1172
- magnetic moment (μB/f.u.) = 0.000
- N(E_F) (states/eV per atom) = 0.706
- excess energy over the best structure of this formula in the dataset (meV per atom) = 1116.5

***

Below is an optimized crystal structure of SiOsBr2, with properties calculated at the GGA-PBE level.

a b c (Å): 4.7208 4.7208 3.2542
angles (deg): 90.00 90.00 90.00
Fractional positions:
Br 0.0000 0.0000 0.0000
Br 0.5000 0.5000 0.0000
Os 0.5000 0.0000 0.5000
Si 0.0000 0.5000 0.5000

- SG = P4/mmm
- formation energy from raw total energies (meV per atom) = 1280
- magnetic moment (μB/f.u.) = 0.000
- N(E_F) (states/eV per atom) = 0.492
- excess energy over the best structure of this formula in the dataset (meV per atom) = 1205.6

***

Below is an optimized crystal structure of SiOsBr2, with properties calculated at the GGA-PBE level.

a b c (Å): 9.2342 9.2342 6.9300
angles (deg): 48.22 48.22 90.00
Fractional positions:
Si 0.5000 0.5000 0.0000
Si 0.2500 0.7500 0.5000
Os 0.0000 0.0000 0.0000
Os 0.7500 0.2500 0.5000
Br 0.7646 0.1250 0.2500
Br 0.9854 0.6250 0.2500
Br 0.3750 0.2354 0.7500
Br 0.8750 0.0146 0.7500

- SG = I-42d
- formation energy from raw total energies (meV per atom) = 395
- magnetic moment (μB/f.u.) = 0.000
- N(E_F) (states/eV per atom) = 0.008
- excess energy over the best structure of this formula in the dataset (meV per atom) = 320.1

***

Below is an optimized crystal structure of SiOsBr2, with properties calculated at the GGA-PBE level.

a b c (Å): 3.8969 3.8969 7.6681
angles (deg): 89.15 89.15 60.09
Fractional positions:
Br 0.9480 0.9480 0.1021
Br 0.6863 0.6863 0.6581
Os 0.5985 0.5985 0.3313
Si 0.2672 0.2672 0.4086

- SG = Cm
- formation energy from raw total energies (meV per atom) = 133
- magnetic moment (μB/f.u.) = 0.000
- excess energy over the best structure of this formula in the dataset (meV per atom) = 58.7

***

> Among the records above, which one has the lowest excess energy over the best structure of this formula in the dataset?

ZrOsSe2Br